Record 1
Compound: MgAlFePt
Source: Alexandria via LeMat-Bulk
Functional: PBE
Structure: relaxed

The structure in POSCAR format:
```
MgAlFePt
1.0
-3.366 1.505 -2.170
-0.609 -1.155 -4.075
-3.229 -2.614 -1.023
Mg Fe Pt Al
1 1 1 1
direct
0.500 0.500 0.500 Mg
0.750 0.750 0.750 Fe
0.250 0.250 0.250 Pt
0.000 0.000 0.000 Al
```

- M_tot: 0.0946 μB/atom
- Calculated total energy: -5.417 eV/atom
- ρ: 9.06 Mg/m³
- DOS(E_F): 0.78 states/eV per atom
- SG: No. 216


Record 2
Compound: PaCoNiPd
Source: Alexandria via LeMat-Bulk
Functional: PBE
Structure: relaxed

The structure in POSCAR format:
```
PaCoNiPd
1.0
-2.143 2.117 -3.284
-4.332 -0.779 -0.699
-3.013 3.139 0.966
Ni Pa Co Pd
1 1 1 1
direct
0.250 0.250 0.250 Ni
0.000 0.000 0.000 Pa
0.750 0.750 0.750 Co
0.500 0.500 0.500 Pd
```

- M_tot: 0.0000 μB/atom
- Calculated total energy: -7.174 eV/atom
- ρ: 12.07 Mg/m³
- DOS(E_F): 0.88 states/eV per atom
- SG: No. 216